(w)
BiP3W: optimized geometry, GGA-PBE.

Results
D(E_F) (states/eV per atom): 1.94

The structure in POSCAR format:
```
BiP3W
1.0
5.008 0.000 0.000
0.000 5.008 0.000
0.000 0.000 5.008
Bi P W
1 3 1
Direct
0.000 0.000 0.000
0.000 0.000 0.500
0.000 0.500 0.000
0.500 0.000 0.000
0.500 0.500 0.500
```

***

(x)
BiP3W: optimized geometry, GGA-PBE.

Results
D(E_F) (states/eV per atom): 0.92

The structure in POSCAR format:
```
BiP3W
1.0
4.759 0.000 0.000
0.000 4.759 0.000
0.000 0.000 4.759
Bi P W
1 3 1
Direct
0.000 0.000 0.000
0.000 0.500 0.500
0.500 0.000 0.500
0.500 0.500 0.000
0.500 0.500 0.500
```

***

Energy ordering: (x) at the bottom, the next structure 1877 meV/atom above.

***

(w)
Bi2P2W: optimized geometry, GGA-PBE.

Results
D(E_F) (states/eV per atom): 0.08

The structure in POSCAR format:
```
Bi2P2W
1.0
6.349 0.000 0.000
0.000 6.349 0.000
0.000 0.000 5.183
Bi P W
4 4 2
Direct
0.182 0.318 0.000
0.318 0.818 0.000
0.682 0.182 0.000
0.818 0.682 0.000
0.134 0.634 0.500
0.366 0.134 0.500
0.634 0.866 0.500
0.866 0.366 0.500
0.000 0.000 0.500
0.500 0.500 0.500
```

***

(x)
Bi2P2W: optimized geometry, GGA-PBE.

Results
D(E_F) (states/eV per atom): 0.92

The structure in POSCAR format:
```
Bi2P2W
1.0
5.851 0.000 0.000
0.000 5.851 0.000
0.000 0.000 6.808
Bi P W
4 4 2
Direct
0.000 0.500 0.250
0.000 0.500 0.750
0.500 0.000 0.250
0.500 0.000 0.750
0.000 0.000 0.157
0.000 0.000 0.843
0.500 0.500 0.343
0.500 0.500 0.657
0.000 0.000 0.500
0.500 0.500 0.000
```

***

Energy ordering: (w) at the bottom, the next structure 526 meV/atom above.

***

(w)
ZnBiP2: optimized geometry, GGA-PBE.

Results
D(E_F) (states/eV per atom): 0.64

The structure in POSCAR format:
```
ZnBiP2
1.0
6.825 0.000 0.000
0.000 6.825 0.000
0.000 0.000 6.825
Zn Bi P
4 4 8
Direct
0.000 0.000 0.000
0.000 0.500 0.500
0.500 0.000 0.500
0.500 0.500 0.000
0.000 0.000 0.500
0.000 0.500 0.000
0.500 0.000 0.000
0.500 0.500 0.500
0.250 0.250 0.250
0.250 0.250 0.750
0.250 0.750 0.250
0.250 0.750 0.750
0.750 0.250 0.250
0.750 0.250 0.750
0.750 0.750 0.250
0.750 0.750 0.750
```

***

(x)
ZnBiP2: optimized geometry, GGA-PBE.

Results
D(E_F) (states/eV per atom): 0.77

The structure in POSCAR format:
```
ZnBiP2
1.0
5.872 0.000 0.000
0.000 5.872 0.000
0.000 0.000 11.945
Zn Bi P
4 4 8
Direct
0.000 0.000 0.000
0.000 0.500 0.250
0.500 0.000 0.750
0.500 0.500 0.500
0.000 0.000 0.500
0.000 0.500 0.750
0.500 0.000 0.250
0.500 0.500 0.000
0.198 0.250 0.125
0.250 0.698 0.375
0.250 0.802 0.875
0.302 0.250 0.625
0.698 0.750 0.625
0.750 0.198 0.875
0.750 0.302 0.375
0.802 0.750 0.125
```

***

Energy ordering: (x) at the bottom, the next structure 385 meV/atom above.

***

(w)
ZnBi2P: optimized geometry, GGA-PBE.

Results
D(E_F) (states/eV per atom): 0.44

The structure in POSCAR format:
```
ZnBi2P
1.0
7.231 0.000 0.000
0.000 7.231 0.000
0.000 0.000 7.231
Zn Bi P
4 8 4
Direct
0.000 0.000 0.000
0.000 0.500 0.500
0.500 0.000 0.500
0.500 0.500 0.000
0.250 0.250 0.250
0.250 0.250 0.750
0.250 0.750 0.250
0.250 0.750 0.750
0.750 0.250 0.250
0.750 0.250 0.750
0.750 0.750 0.250
0.750 0.750 0.750
0.000 0.000 0.500
0.000 0.500 0.000
0.500 0.000 0.000
0.500 0.500 0.500
```

***

(x)
ZnBi2P: optimized geometry, GGA-PBE.

Results
D(E_F) (states/eV per atom): 0.68

The structure in POSCAR format:
```
ZnBi2P
1.0
6.295 0.000 0.000
0.000 6.295 0.000
0.000 0.000 13.163
Zn Bi P
4 8 4
Direct
0.000 0.000 0.000
0.000 0.500 0.250
0.500 0.000 0.750
0.500 0.500 0.500
0.249 0.250 0.625
0.250 0.749 0.875
0.250 0.751 0.375
0.251 0.250 0.125
0.749 0.750 0.125
0.750 0.249 0.375
0.750 0.251 0.875
0.751 0.750 0.625
0.000 0.000 0.500
0.000 0.500 0.750
0.500 0.000 0.250
0.500 0.500 0.000
```

***

Energy ordering: (x) at the bottom, the next structure 65 meV/atom above.

***

(w)
Zn2BiP: optimized geometry, GGA-PBE.

Results
D(E_F) (states/eV per atom): 0.38

The structure in POSCAR format:
```
Zn2BiP
1.0
6.203 0.000 0.000
0.000 6.203 0.000
0.000 0.000 10.516
Zn Bi P
8 4 4
Direct
0.179 0.250 0.125
0.250 0.679 0.375
0.250 0.821 0.875
0.321 0.250 0.625
0.679 0.750 0.625
0.750 0.179 0.875
0.750 0.321 0.375
0.821 0.750 0.125
0.000 0.000 0.500
0.000 0.500 0.750
0.500 0.000 0.250
0.500 0.500 0.000
0.000 0.000 0.000
0.000 0.500 0.250
0.500 0.000 0.750
0.500 0.500 0.500
```

***

(x)
Zn2BiP: optimized geometry, GGA-PBE.

Results
D(E_F) (states/eV per atom): 0.86

The structure in POSCAR format:
```
Zn2BiP
1.0
6.857 0.000 0.000
0.000 6.857 0.000
0.000 0.000 6.857
Zn Bi P
8 4 4
Direct
0.250 0.250 0.250
0.250 0.250 0.750
0.250 0.750 0.250
0.250 0.750 0.750
0.750 0.250 0.250
0.750 0.250 0.750
0.750 0.750 0.250
0.750 0.750 0.750
0.000 0.000 0.000
0.000 0.500 0.500
0.500 0.000 0.500
0.500 0.500 0.000
0.000 0.000 0.500
0.000 0.500 0.000
0.500 0.000 0.000
0.500 0.500 0.500
```

***

Energy ordering: (w) at the bottom, the next structure 334 meV/atom above.

***

(w)
ZrBiP: optimized geometry, GGA-PBE.

Results
D(E_F) (states/eV per atom): 0.65

The structure in POSCAR format:
```
ZrBiP
1.0
3.454 0.000 0.000
0.000 3.478 0.000
1.640 1.722 12.421
Zr Bi P
2 2 2
Direct
0.000 0.000 0.000
0.119 0.625 0.750
0.415 0.405 0.186
0.763 0.271 0.460
0.541 0.543 0.913
0.655 0.163 0.674
```

***

(x)
ZrBiP: optimized geometry, GGA-PBE.

Results
D(E_F) (states/eV per atom): 0.43

The structure in POSCAR format:
```
ZrBiP
1.0
5.159 0.000 0.000
0.000 4.046 0.000
-2.339 0.000 7.093
Zr Bi P
2 2 2
Direct
0.201 0.250 0.394
0.799 0.750 0.606
0.241 0.750 0.052
0.759 0.250 0.948
0.308 0.750 0.626
0.692 0.250 0.374
```

***

(y)
ZrBiP: optimized geometry, GGA-PBE.

Results
D(E_F) (states/eV per atom): 0.59

The structure in POSCAR format:
```
ZrBiP
1.0
3.592 0.000 0.000
0.000 3.649 0.000
-0.793 0.000 11.244
Zr Bi P
2 2 2
Direct
0.228 0.250 0.399
0.772 0.750 0.601
0.101 0.750 0.883
0.899 0.250 0.117
0.280 0.250 0.640
0.720 0.750 0.360
```

***

(z)
ZrBiP: optimized geometry, GGA-PBE.

Results
D(E_F) (states/eV per atom): 0.40

The structure in POSCAR format:
```
ZrBiP
1.0
3.563 0.000 0.000
0.000 12.852 0.000
0.000 0.000 6.052
Zr Bi P
4 4 4
Direct
0.000 0.069 0.000
0.000 0.931 0.500
0.500 0.431 0.500
0.500 0.569 0.000
0.000 0.302 0.833
0.000 0.698 0.333
0.500 0.198 0.333
0.500 0.802 0.833
0.000 0.439 0.177
0.000 0.561 0.677
0.500 0.061 0.677
0.500 0.939 0.177
```

***

Energy ordering: (y) at the bottom, the next structure 34 meV/atom above.